No. 1
# PBE TlPt4Pb, optimized geometry
# energy of formation: -130 meV/atom
# DOS at the Fermi energy: 4.3 states/eV/f.u.
# raw total energy: -5.170 eV per atom
# ρ: 16.9 g cm⁻³
data_TlPt4Pb
_space_group_name_H-M_alt 'F -4 3 m'
_space_group_IT_number 216
_space_group_name_Hall 'F -4 2 3'
_cell_length_a 7.759
_cell_length_b 7.759
_cell_length_c 7.759
_cell_angle_alpha 90.00
_cell_angle_beta 90.00
_cell_angle_gamma 90.00
loop_
_atom_site_label
_atom_site_type_symbol
_atom_site_fract_x
_atom_site_fract_y
_atom_site_fract_z
Tl1 Tl 0.000 0.000 0.000
Pt1 Pt 0.125 0.125 0.375
Pb1 Pb 0.250 0.250 0.750

=====

No. 2
# PBE Tl3PtPb, optimized geometry
# energy of formation: 116 meV/atom
# DOS at the Fermi energy: 6.1 states/eV/f.u.
# raw total energy: -3.253 eV per atom
# ρ: 10.8 g cm⁻³
data_Tl3PtPb
_space_group_name_H-M_alt 'P m -3 m'
_space_group_IT_number 221
_space_group_name_Hall '-P 4 2 3'
_cell_length_a 5.382
_cell_length_b 5.382
_cell_length_c 5.382
_cell_angle_alpha 90.00
_cell_angle_beta 90.00
_cell_angle_gamma 90.00
loop_
_atom_site_label
_atom_site_type_symbol
_atom_site_fract_x
_atom_site_fract_y
_atom_site_fract_z
Tl1 Tl 0.000 0.000 0.500
Pt1 Pt 0.000 0.000 0.000
Pb1 Pb 0.500 0.500 0.500

=====

No. 3
# PBE Tl3PtPb, optimized geometry
# energy of formation: -58 meV/atom
# DOS at the Fermi energy: 2.1 states/eV/f.u.
# raw total energy: -3.427 eV per atom
# ρ: 12.0 g cm⁻³
data_Tl3PtPb
_space_group_name_H-M_alt 'C 1 2/m 1'
_space_group_IT_number 12
_space_group_name_Hall '-C 2y'
_cell_length_a 18.908
_cell_length_b 3.763
_cell_length_c 8.725
_cell_angle_alpha 90.00
_cell_angle_beta 114.83
_cell_angle_gamma 90.00
loop_
_atom_site_label
_atom_site_type_symbol
_atom_site_fract_x
_atom_site_fract_y
_atom_site_fract_z
Tl1 Tl 0.103 0.000 0.097
Tl2 Tl 0.172 0.500 0.448
Tl3 Tl 0.227 0.000 0.825
Pt1 Pt 0.080 0.000 0.536
Pb1 Pb 0.031 0.500 0.721

=====

No. 4
# PBE TlPt2Pb2, optimized geometry
# energy of formation: -70 meV/atom
# DOS at the Fermi energy: 2.5 states/eV/f.u.
# raw total energy: -4.443 eV per atom
# ρ: 12.9 g cm⁻³
data_TlPt2Pb2
_space_group_name_H-M_alt 'I 4/m m m'
_space_group_IT_number 139
_space_group_name_Hall '-I 4 2'
_cell_length_a 3.991
_cell_length_b 3.991
_cell_length_c 16.311
_cell_angle_alpha 90.00
_cell_angle_beta 90.00
_cell_angle_gamma 90.00
loop_
_atom_site_label
_atom_site_type_symbol
_atom_site_fract_x
_atom_site_fract_y
_atom_site_fract_z
Tl1 Tl 0.000 0.000 0.000
Pt1 Pt 0.000 0.500 0.250
Pb1 Pb 0.000 0.000 0.372

=====

No. 5
# PBE TlPtPb2, optimized geometry
# energy of formation: -116 meV/atom
# DOS at the Fermi energy: 2.2 states/eV/f.u.
# raw total energy: -4.072 eV per atom
# ρ: 12.6 g cm⁻³
data_TlPtPb2
_space_group_name_H-M_alt 'P 1 21/m 1'
_space_group_IT_number 11
_space_group_name_Hall '-P 2yb'
_cell_length_a 3.828
_cell_length_b 8.984
_cell_length_c 6.467
_cell_angle_alpha 90.00
_cell_angle_beta 105.77
_cell_angle_gamma 90.00
loop_
_atom_site_label
_atom_site_type_symbol
_atom_site_fract_x
_atom_site_fract_y
_atom_site_fract_z
Tl1 Tl 0.077 0.250 0.134
Pt1 Pt 0.254 0.750 0.507
Pb1 Pb 0.351 0.058 0.717

=====

No. 6
# PBE TlPt3Pb6, optimized geometry
# energy of formation: -129 meV/atom
# DOS at the Fermi energy: 3.7 states/eV/f.u.
# raw total energy: -4.402 eV per atom
# ρ: 12.0 g cm⁻³
data_TlPt3Pb6
_space_group_name_H-M_alt 'P 1 21/m 1'
_space_group_IT_number 11
_space_group_name_Hall '-P 2yb'
_cell_length_a 9.120
_cell_length_b 3.892
_cell_length_c 15.917
_cell_angle_alpha 90.00
_cell_angle_beta 91.05
_cell_angle_gamma 90.00
loop_
_atom_site_label
_atom_site_type_symbol
_atom_site_fract_x
_atom_site_fract_y
_atom_site_fract_z
Tl1 Tl 0.210 0.250 0.258
Pt1 Pt 0.089 0.750 0.792
Pt2 Pt 0.305 0.250 0.532
Pt3 Pt 0.397 0.250 0.963
Pb1 Pb 0.087 0.250 0.920
Pb2 Pb 0.139 0.250 0.674
Pb3 Pb 0.151 0.750 0.442
Pb4 Pb 0.294 0.750 0.079
Pb5 Pb 0.395 0.750 0.833
Pb6 Pb 0.494 0.750 0.605

=====

No. 7
# PBE Tl2PtPb2, optimized geometry
# energy of formation: 31 meV/atom
# DOS at the Fermi energy: 1.1 states/eV/f.u.
# raw total energy: -3.607 eV per atom
# ρ: 11.6 g cm⁻³
data_Tl2PtPb2
_space_group_name_H-M_alt 'P 4/m b m'
_space_group_IT_number 127
_space_group_name_Hall '-P 4 2ab'
_cell_length_a 7.254
_cell_length_b 7.254
_cell_length_c 5.550
_cell_angle_alpha 90.00
_cell_angle_beta 90.00
_cell_angle_gamma 90.00
loop_
_atom_site_label
_atom_site_type_symbol
_atom_site_fract_x
_atom_site_fract_y
_atom_site_fract_z
Tl1 Tl 0.167 0.333 0.000
Pt1 Pt 0.000 0.000 0.500
Pb1 Pb 0.154 0.654 0.500

=====

No. 8
# PBE Tl3PtPb, optimized geometry
# energy of formation: -17 meV/atom
# DOS at the Fermi energy: 2.4 states/eV/f.u.
# raw total energy: -3.387 eV per atom
# ρ: 11.8 g cm⁻³
data_Tl3PtPb
_space_group_name_H-M_alt 'C 1 2/m 1'
_space_group_IT_number 12
_space_group_name_Hall '-C 2y'
_cell_length_a 11.065
_cell_length_b 9.193
_cell_length_c 6.951
_cell_angle_alpha 90.00
_cell_angle_beta 125.89
_cell_angle_gamma 90.00
loop_
_atom_site_label
_atom_site_type_symbol
_atom_site_fract_x
_atom_site_fract_y
_atom_site_fract_z
Tl1 Tl 0.049 0.000 0.319
Tl2 Tl 0.248 0.301 0.771
Pt1 Pt 0.243 0.500 0.128
Pb1 Pb 0.053 0.500 0.285

=====

No. 9
# PBE TlPtPb2, optimized geometry
# energy of formation: -2 meV/atom
# DOS at the Fermi energy: 2.1 states/eV/f.u.
# raw total energy: -3.958 eV per atom
# ρ: 12.6 g cm⁻³
data_TlPtPb2
_space_group_name_H-M_alt 'I m m m'
_space_group_IT_number 71
_space_group_name_Hall '-I 2 2'
_cell_length_a 3.479
_cell_length_b 4.905
_cell_length_c 12.598
_cell_angle_alpha 90.00
_cell_angle_beta 90.00
_cell_angle_gamma 90.00
loop_
_atom_site_label
_atom_site_type_symbol
_atom_site_fract_x
_atom_site_fract_y
_atom_site_fract_z
Tl1 Tl 0.000 0.000 0.000
Pt1 Pt 0.000 0.000 0.500
Pb1 Pb 0.000 0.500 0.188

=====

No. 10
# PBE TlPtPb, optimized geometry
# energy of formation: 269 meV/atom
# DOS at the Fermi energy: 1.3 states/eV/f.u.
# raw total energy: -3.770 eV per atom
# ρ: 12.1 g cm⁻³
data_TlPtPb
_space_group_name_H-M_alt 'F -4 3 m'
_space_group_IT_number 216
_space_group_name_Hall 'F -4 2 3'
_cell_length_a 6.923
_cell_length_b 6.923
_cell_length_c 6.923
_cell_angle_alpha 90.00
_cell_angle_beta 90.00
_cell_angle_gamma 90.00
loop_
_atom_site_label
_atom_site_type_symbol
_atom_site_fract_x
_atom_site_fract_y
_atom_site_fract_z
Tl1 Tl 0.000 0.000 0.000
Pt1 Pt 0.000 0.000 0.500
Pb1 Pb 0.250 0.250 0.250

=====

No. 11
# PBE TlPtPb2, optimized geometry
# energy of formation: -84 meV/atom
# DOS at the Fermi energy: 1.6 states/eV/f.u.
# raw total energy: -4.040 eV per atom
# ρ: 11.5 g cm⁻³
data_TlPtPb2
_space_group_name_H-M_alt 'R 3 m'
_space_group_IT_number 160
_space_group_name_Hall 'R 3 -2"'
_cell_length_a 4.3939
_cell_length_b 4.3939
_cell_length_c 21.0238
_cell_angle_alpha 90.00
_cell_angle_beta 90.00
_cell_angle_gamma 120.00
loop_
_atom_site_label
_atom_site_type_symbol
_atom_site_fract_x
_atom_site_fract_y
_atom_site_fract_z
Tl1 Tl 0.0000 0.0000 0.0000
Pt1 Pt 0.0000 0.0000 0.8334
Pb1 Pb 0.0000 0.0000 0.2284
Pb2 Pb 0.0000 0.0000 0.4408

=====

No. 12
# PBE TlPtPb6, optimized geometry
# energy of formation: -12 meV/atom
# DOS at the Fermi energy: 3.6 states/eV/f.u.
# raw total energy: -3.844 eV per atom
# ρ: 11.5 g cm⁻³
data_TlPtPb6
_space_group_name_H-M_alt 'A m m 2'
_space_group_IT_number 38
_space_group_name_Hall 'A 2 -2'
_cell_length_a 4.544
_cell_length_b 9.416
_cell_length_c 11.078
_cell_angle_alpha 90.00
_cell_angle_beta 90.00
_cell_angle_gamma 90.00
loop_
_atom_site_label
_atom_site_type_symbol
_atom_site_fract_x
_atom_site_fract_y
_atom_site_fract_z
Tl1 Tl 0.000 0.000 0.000
Pt1 Pt 0.500 0.000 0.635
Pb1 Pb 0.000 0.000 0.453
Pb2 Pb 0.000 0.184 0.727
Pb3 Pb 0.500 0.000 0.222
Pb4 Pb 0.500 0.246 0.985

=====

No. 13
# PBE TlPtPb2, optimized geometry
# energy of formation: 137 meV/atom
# DOS at the Fermi energy: 2.2 states/eV/f.u.
# raw total energy: -3.819 eV per atom
# ρ: 13.3 g cm⁻³
data_TlPtPb2
_space_group_name_H-M_alt 'I -4 m 2'
_space_group_IT_number 119
_space_group_name_Hall 'I -4 -2'
_cell_length_a 4.770
_cell_length_b 4.770
_cell_length_c 8.905
_cell_angle_alpha 90.00
_cell_angle_beta 90.00
_cell_angle_gamma 90.00
loop_
_atom_site_label
_atom_site_type_symbol
_atom_site_fract_x
_atom_site_fract_y
_atom_site_fract_z
Tl1 Tl 0.000 0.000 0.000
Pt1 Pt 0.000 0.500 0.250
Pb1 Pb 0.000 0.000 0.500
Pb2 Pb 0.000 0.500 0.750

=====

No. 14
# PBE TlPtPb2, optimized geometry
# energy of formation: -86 meV/atom
# DOS at the Fermi energy: 2.1 states/eV/f.u.
# raw total energy: -4.042 eV per atom
# ρ: 12.7 g cm⁻³
data_TlPtPb2
_space_group_name_H-M_alt 'P 1 2/m 1'
_space_group_IT_number 10
_space_group_name_Hall '-P 2y'
_cell_length_a 3.474
_cell_length_b 3.481
_cell_length_c 8.797
_cell_angle_alpha 90.00
_cell_angle_beta 90.42
_cell_angle_gamma 90.00
loop_
_atom_site_label
_atom_site_type_symbol
_atom_site_fract_x
_atom_site_fract_y
_atom_site_fract_z
Tl1 Tl 0.000 0.000 0.000
Pt1 Pt 0.000 0.000 0.500
Pb1 Pb 0.499 0.500 0.308

=====

No. 15
# PBE TlPtPb3, optimized geometry
# energy of formation: -74 meV/atom
# DOS at the Fermi energy: 2.0 states/eV/f.u.
# raw total energy: -3.980 eV per atom
# ρ: 11.9 g cm⁻³
data_TlPtPb3
_space_group_name_H-M_alt 'P n m a'
_space_group_IT_number 62
_space_group_name_Hall '-P 2ac 2n'
_cell_length_a 9.688
_cell_length_b 4.634
_cell_length_c 12.674
_cell_angle_alpha 90.00
_cell_angle_beta 90.00
_cell_angle_gamma 90.00
loop_
_atom_site_label
_atom_site_type_symbol
_atom_site_fract_x
_atom_site_fract_y
_atom_site_fract_z
Tl1 Tl 0.140 0.250 0.006
Pt1 Pt 0.054 0.250 0.346
Pb1 Pb 0.094 0.250 0.571
Pb2 Pb 0.115 0.750 0.213
Pb3 Pb 0.153 0.750 0.816

=====

No. 16
# PBE TlPtPb4, optimized geometry
# energy of formation: -20 meV/atom
# DOS at the Fermi energy: 3.3 states/eV/f.u.
# raw total energy: -3.894 eV per atom
# ρ: 10.6 g cm⁻³
data_TlPtPb4
_space_group_name_H-M_alt 'P 4/m m m'
_space_group_IT_number 123
_space_group_name_Hall '-P 4 2'
_cell_length_a 4.785
_cell_length_b 4.785
_cell_length_c 8.416
_cell_angle_alpha 90.00
_cell_angle_beta 90.00
_cell_angle_gamma 90.00
loop_
_atom_site_label
_atom_site_type_symbol
_atom_site_fract_x
_atom_site_fract_y
_atom_site_fract_z
Tl1 Tl 0.000 0.000 0.000
Pt1 Pt 0.500 0.500 0.500
Pb1 Pb 0.000 0.500 0.300

=====

No. 17
# PBE TlPt2Pb2, optimized geometry
# energy of formation: -86 meV/atom
# DOS at the Fermi energy: 2.0 states/eV/f.u.
# raw total energy: -4.459 eV per atom
# ρ: 13.2 g cm⁻³
data_TlPt2Pb2
_space_group_name_H-M_alt 'R -3 m'
_space_group_IT_number 166
_space_group_name_Hall '-R 3 2"'
_cell_length_a 3.9952
_cell_length_b 3.9952
_cell_length_c 27.6310
_cell_angle_alpha 90.00
_cell_angle_beta 90.00
_cell_angle_gamma 120.00
loop_
_atom_site_label
_atom_site_type_symbol
_atom_site_fract_x
_atom_site_fract_y
_atom_site_fract_z
Tl1 Tl 0.0000 0.0000 0.0000
Pt1 Pt 0.0000 0.0000 0.3933
Pb1 Pb 0.0000 0.0000 0.2168

=====

No. 18
# PBE TlPtPb2, optimized geometry
# energy of formation: -157 meV/atom
# DOS at the Fermi energy: 1.9 states/eV/f.u.
# raw total energy: -4.113 eV per atom
# ρ: 12.3 g cm⁻³
data_TlPtPb2
_space_group_name_H-M_alt 'C 1 2/m 1'
_space_group_IT_number 12
_space_group_name_Hall '-C 2y'
_cell_length_a 13.934
_cell_length_b 3.786
_cell_length_c 8.348
_cell_angle_alpha 90.00
_cell_angle_beta 92.31
_cell_angle_gamma 90.00
loop_
_atom_site_label
_atom_site_type_symbol
_atom_site_fract_x
_atom_site_fract_y
_atom_site_fract_z
Tl1 Tl 0.132 0.000 0.468
Pt1 Pt 0.101 0.000 0.036
Pb1 Pb 0.027 0.500 0.797
Pb2 Pb 0.236 0.500 0.170

=====

No. 19
# PBE TlPtPb, optimized geometry
# energy of formation: -159 meV/atom
# DOS at the Fermi energy: 1.0 states/eV/f.u.
# raw total energy: -4.197 eV per atom
# ρ: 13.0 g cm⁻³
data_TlPtPb
_space_group_name_H-M_alt 'F -4 3 m'
_space_group_IT_number 216
_space_group_name_Hall 'F -4 2 3'
_cell_length_a 6.770
_cell_length_b 6.770
_cell_length_c 6.770
_cell_angle_alpha 90.00
_cell_angle_beta 90.00
_cell_angle_gamma 90.00
loop_
_atom_site_label
_atom_site_type_symbol
_atom_site_fract_x
_atom_site_fract_y
_atom_site_fract_z
Tl1 Tl 0.000 0.000 0.000
Pt1 Pt 0.250 0.250 0.750
Pb1 Pb 0.000 0.000 0.500

=====

No. 20
# PBE TlPtPb2, optimized geometry
# energy of formation: -89 meV/atom
# DOS at the Fermi energy: 1.5 states/eV/f.u.
# raw total energy: -4.045 eV per atom
# ρ: 11.7 g cm⁻³
data_TlPtPb2
_space_group_name_H-M_alt 'C 1 2/m 1'
_space_group_IT_number 12
_space_group_name_Hall '-C 2y'
_cell_length_a 6.976
_cell_length_b 4.034
_cell_length_c 8.545
_cell_angle_alpha 90.00
_cell_angle_beta 106.23
_cell_angle_gamma 90.00
loop_
_atom_site_label
_atom_site_type_symbol
_atom_site_fract_x
_atom_site_fract_y
_atom_site_fract_z
Tl1 Tl 0.000 0.000 0.000
Pt1 Pt 0.000 0.500 0.500
Pb1 Pb 0.232 0.000 0.692